[1]
Pm5YTe4: relaxed, PBE-GGA.

```
20
Lattice="-5.886 -2.516 -3.668 1.619 -7.787 2.745 -6.568 1.892 9.242" Properties=species:S:1:pos:R:3 pbc="T T T"
Te -4.364 -5.842 5.243
Pm -5.889 -4.987 8.670
Pm -7.421 -6.373 5.642
Te -4.107 -2.484 8.271
Pm -1.583 -6.227 2.612
Pm -2.393 -2.333 1.240
Y -5.379 -2.300 -3.352
Te -0.861 -3.419 3.704
Pm -6.699 -1.093 7.298
Te -5.161 -2.010 3.892
Pm -5.968 -3.131 1.086
Pm -4.579 -6.198 -1.986
Te -2.377 -7.409 -0.173
Y -2.982 -3.164 5.677
Te -10.822 -1.088 3.296
Pm -3.781 0.733 4.311
Pm -5.158 -7.024 2.458
Te -7.500 -2.045 -1.379
Te -3.200 -3.454 -1.567
Pm -8.230 -2.479 4.269
```

Values from the calculation:
The value obtained for the formation energy from raw total energies is -854 meV/atom. As for the crystal system: orthorhombic. The value obtained for the raw total energy is -102.66 eV per cell. The density comes out at 6.164 Mg/m³.


[2]
PmY6Te8: relaxed, PBE-GGA.

```
15
Lattice="-7.914 -1.100 -1.795 -0.868 -2.666 -7.695 -1.854 -7.976 -0.097" Properties=species:S:1:pos:R:3 pbc="T T T"
Te -6.118 -4.606 -8.076
Te -2.179 -5.222 -6.449
Y -4.330 -2.991 -6.135
Y -6.376 -4.585 -1.913
Te -8.456 -6.520 -3.137
Te -7.199 -7.948 -6.489
Y -6.306 -8.751 -3.451
Te -3.437 -3.794 -3.098
Te -4.518 -7.136 -1.511
Y -8.316 -4.937 -5.893
Te -6.918 -2.674 -4.312
Y -4.259 -7.157 -7.674
Te -3.717 -9.068 -5.274
Y -2.319 -6.805 -3.693
Pm 0.000 0.000 0.000
```

Values from the calculation:
The value obtained for the formation energy from raw total energies is -1262 meV/atom. As for the crystal system: trigonal. The value obtained for the raw total energy is -87.60 eV per cell. The density comes out at 6.074 Mg/m³.


[3]
Pm3Y4Te8: relaxed, PBE-GGA.

```
15
Lattice="8.788 -0.120 -0.172 -4.285 7.679 0.143 -4.285 -2.531 7.252" Properties=species:S:1:pos:R:3 pbc="T T T"
Te -2.086 3.799 5.458
Te -6.373 3.856 5.539
Y 4.394 -0.060 -0.086
Y -2.143 -1.266 3.626
Te 0.109 -0.066 5.408
Te -4.285 0.056 5.450
Te 2.304 1.229 1.765
Y 0.000 0.000 0.000
Te 6.591 1.173 1.684
Te 0.109 5.095 1.815
Y -2.143 3.840 0.072
Pm 2.252 -1.326 3.540
Te -4.285 5.092 1.944
Pm 0.109 2.514 3.612
Pm 2.252 3.780 -0.014
```

Values from the calculation:
The value obtained for the formation energy from raw total energies is -1415 meV/atom. As for the crystal system: monoclinic. The value obtained for the raw total energy is -86.46 eV per cell. The density comes out at 6.248 Mg/m³.


[4]
PmY2Te2: relaxed, PBE-GGA.

```
10
Lattice="7.911 0.670 1.153 -2.053 7.669 1.153 -2.344 -3.337 4.246" Properties=species:S:1:pos:R:3 pbc="T T T"
Y 4.906 -0.283 3.011
Te 1.335 4.666 4.914
Te 4.390 5.012 2.791
Y 1.634 5.652 1.417
Pm 4.160 2.681 4.914
Y -1.391 5.286 3.540
Te -0.876 -0.009 3.761
Pm -0.646 2.321 1.638
Te 2.179 0.337 1.638
Y 1.880 -0.649 5.134
```

Values from the calculation:
The value obtained for the formation energy from raw total energies is -885 meV/atom. As for the crystal system: monoclinic. The value obtained for the raw total energy is -56.77 eV per cell. The density comes out at 5.986 Mg/m³.


[5]
Pm2YTe2: relaxed, PBE-GGA.

```
5
Lattice="-0.634 0.096 -4.048 -1.131 -6.148 0.032 -5.359 4.179 3.012" Properties=species:S:1:pos:R:3 pbc="T T T"
Y 0.000 0.000 0.000
Te -4.605 -2.328 0.666
Pm -4.493 0.830 0.723
Pm -2.630 -2.703 -1.727
Te -2.518 0.455 -1.670
```

Values from the calculation:
The value obtained for the formation energy from raw total energies is -967 meV/atom. As for the crystal system: orthorhombic. The value obtained for the raw total energy is -27.08 eV per cell. The density comes out at 6.396 Mg/m³.


[6]
PmY2Te: relaxed, PBE-GGA.

```
16
Lattice="6.528 0.000 0.000 0.000 7.537 0.000 0.000 0.000 9.910" Properties=species:S:1:pos:R:3 pbc="T T T"
Y 4.046 6.028 5.344
Y 2.482 1.509 0.389
Te 5.848 4.601 7.432
Y 2.482 1.509 4.566
Pm 4.161 3.899 2.477
Pm 0.897 7.406 7.432
Y 0.782 5.278 0.389
Te 0.680 2.936 2.477
Y 5.746 2.259 5.344
Te 2.584 6.705 2.477
Pm 2.367 3.637 7.432
Y 0.782 5.278 4.566
Pm 5.631 0.131 2.477
Te 3.944 0.832 7.432
Y 4.046 6.028 9.521
Y 5.746 2.259 9.521
```

Values from the calculation:
The value obtained for the formation energy from raw total energies is -672 meV/atom. As for the crystal system: orthorhombic. The value obtained for the raw total energy is -94.03 eV per cell. The density comes out at 6.136 Mg/m³.